Density functional theory data (GGA-PBE) for a relaxed structure of TbCuSe2.

Values from the calculation:
**Crystal system**: orthorhombic
**Uncorrected energy**: -20.57 eV/f.u.
**Magnetization**: 0.000 Bohr magnetons per cell

Unit cell a=14.1058 b=4.1358 c=6.5695 alpha=90.00 beta=90.00 gamma=90.00
Closest atoms and distances in Å follow each position.
Space group Pnma (No. 62)
Unique sites:
1 Tb 0.1298 0.2500 0.0114 x4  6 Se 2.79-2.96
2 Cu 0.0444 0.7500 0.3620 x4  4 Se 2.42-2.53
3 Se 0.0441 0.7500 0.7468 x4  3 Cu 2.52-2.53
4 Se 0.2071 0.7500 0.2439 x4  1 Cu 2.42